Entry 1:
Below is Pm2Be3Au9 after structural relaxation, with properties calculated at the GGA-PBE level.

## Properties
E_tot, eV for the cell shown: -224.13
Size of the total moment, μB/f.u.: 0.00

a = 13.7130 Å, b = 7.7615 Å, c = 10.5326 Å
α = 90.00°, β = 115.88°, γ = 90.00°
Closest atoms and distances in Å follow each position.
Space group C2/c (No. 15)
One atom of each set of equivalent atoms:
Pm (0.1719, 0.0826, 0.2476) [8 per cell]  11 Au 3.02-3.20
Be (0.0902, 0.2309, 0.4975) [8 per cell]  5 Au 2.44-2.66
Be (0.2500, 0.2500, 0.0000) [4 per cell]  8 Au 2.61-2.74
Au (0.0000, 0.3443, 0.2500) [4 per cell]  2 Be 2.51
Au (0.0606, 0.0701, 0.9255) [8 per cell]  1 Be 2.44
Au (0.1020, 0.4071, 0.0520) [8 per cell]  3 Be 2.62-2.86, 3 Au 2.85-2.90
Au (0.1098, 0.3066, 0.7392) [8 per cell]  2 Be 2.51-2.61
Au (0.2257, 0.4184, 0.4340) [8 per cell]  3 Be 2.58-2.66, 1 Au 2.85

Entry 2:
Below is Ac8Co3SiI4 after structural relaxation, with properties calculated at the GGA-PBE level.

## Properties
Size of the total moment, μB/f.u.: 0.00
Energy relative to the elements, uncorrected, eV/atom: -0.65

a = 8.7818 Å, b = 8.7818 Å, c = 25.5581 Å
α = 90.00°, β = 90.00°, γ = 120.00°
Closest atoms and distances in Å follow each position.
Space group R-3m (No. 166, hexagonal axes)
One atom of each set of equivalent atoms:
Ac (0.0000, 0.0000, 0.2289) [6 per cell]  3 Co 2.99
Ac (0.0164, 0.5082, 0.7727) [18 per cell]  2 Co 2.92, 1 Si 3.08
Co (0.0000, 0.5000, 0.5000) [9 per cell]  6 Ac 2.92-2.99
Si (0.0000, 0.0000, 0.5000) [3 per cell]  6 Ac 3.08
I (0.0000, 0.0000, 0.0000) [3 per cell]  6 Ac 3.63
I (0.0000, 0.5000, 0.0000) [9 per cell]  6 Ac 3.68-3.76

Entry 3:
Below is CrFe5Co2Mo2 after structural relaxation, with properties calculated at the GGA-PBE level.

## Properties
E_tot, eV for the cell shown: -171.72
Size of the total moment, μB/f.u.: 5.70

a = 8.1298 Å, b = 8.1298 Å, c = 3.7197 Å
α = 90.00°, β = 90.00°, γ = 90.00°
Closest atoms and distances in Å follow each position.
Space group P4/mbm (No. 127)
One atom of each set of equivalent atoms:
Cr (0.0000, 0.0000, 0.0000) [2 per cell]  8 Fe 2.53
Fe (0.0000, 0.5000, 0.5000) [2 per cell]  4 Co 2.35, 4 Fe 2.48
Fe (0.0621, 0.2015, 0.5000) [8 per cell]  2 Co 2.39, 3 Fe 2.42-2.48, 2 Cr 2.53
Co (0.1245, 0.3755, 0.0000) [4 per cell]  3 Mo 2.33-2.45, 6 Fe 2.35-2.39
Mo (0.1725, 0.6725, 0.0000) [4 per cell]  3 Co 2.33-2.45